Entry 1:
{
  "formula": "Ac2MnNbO6",
  "functional": "PBE with a Hubbard U",
  "state": "optimized geometry",
  "lattice": [[5.854, 0.000, 0.000], [0.000, 5.854, 0.000], [0.000, 0.000, 4.130]],
  "species": ["Ac", "Ac", "Mn", "Nb", "O", "O", "O", "O", "O", "O"],
  "frac_coords": [[0.000, 0.500, 0.000], [0.500, 0.000, 0.000], [0.000, 0.000, 0.500], [0.500, 0.500, 0.500], [0.000, 0.000, 0.000], [0.256, 0.256, 0.500], [0.256, 0.744, 0.500], [0.500, 0.500, 0.000], [0.744, 0.256, 0.500], [0.744, 0.744, 0.500]],
  "e_tot_ev_per_cell": -82.11
}

***

Entry 2:
{
  "formula": "AcMnNbO6",
  "functional": "PBE with a Hubbard U",
  "state": "optimized geometry",
  "lattice": [[4.979, 0.000, 0.000], [0.000, 4.979, 0.000], [0.000, 0.000, 9.864]],
  "species": ["Ac", "Ac", "Mn", "Mn", "Nb", "Nb", "O", "O", "O", "O", "O", "O", "O", "O", "O", "O", "O", "O"],
  "frac_coords": [[0.000, 0.000, 0.000], [0.500, 0.500, 0.500], [0.000, 0.000, 0.327], [0.500, 0.500, 0.827], [0.000, 0.000, 0.664], [0.500, 0.500, 0.164], [0.163, 0.163, 0.486], [0.217, 0.217, 0.192], [0.221, 0.221, 0.792], [0.279, 0.721, 0.292], [0.283, 0.717, 0.692], [0.337, 0.663, 0.986], [0.663, 0.337, 0.986], [0.717, 0.283, 0.692], [0.721, 0.279, 0.292], [0.779, 0.779, 0.792], [0.783, 0.783, 0.192], [0.837, 0.837, 0.486]],
  "e_tot_ev_per_cell": -143.47
}

***

no.,N(E_F) (states/eV/f.u.)
1,3.1
2,0.4